VASP calculation (GGA+U) on a geometry-optimized K2VF structure.

Calculated values
Crystal system   cubic
Fermi-level density of states   5.91 states/eV/f.u.
Total DFT energy (no corrections)   -11.4 eV/cell
Calculated volume   136 Å³/cell
Space group   Fm-3m
Theoretical density   1.81 Mg/m³
Offset from the most stable computed form   1.92 eV per formula unit

a b c (Å): 5.7761 5.7761 5.7761
angles (deg): 60.00 60.00 60.00
Last column: nearest neighbours and their distance in Å.
Positions (direct):
1 K 0.2500 0.2500 0.2500  4 F 3.54, 4 V 3.54
2 K 0.7500 0.7500 0.7500  4 F 3.54, 4 V 3.54
3 V 0.0000 0.0000 0.0000  8 K 3.54
4 F 0.5000 0.5000 0.5000  8 K 3.54